Entry 1:
The following is a DFT calculation (PBE-GGA) of a relaxed structure of ZnRe2Pb.

a = 3.0632 Å, b = 3.0632 Å, c = 8.2444 Å
α = 90.00°, β = 90.00°, γ = 90.00°
Space group P4mm (No. 99)
Symmetry-distinct sites (fractional):
Zn (0.0000, 0.0000, 0.0000)
Re (0.0000, 0.0000, 0.6247)
Re (0.5000, 0.5000, 0.7946)
Pb (0.5000, 0.5000, 0.3443)

Formation energy = 0.332 eV/atom
Total energy = -7.14 eV per atom
D(E_F) = 1.0 states/eV/f.u.
Excess energy over the best structure of this formula in the dataset = 16 meV per atom

***

Entry 2:
The following is a DFT calculation (PBE-GGA) of a relaxed structure of ZnRePb2.

a = 4.2447 Å, b = 4.2447 Å, c = 9.4037 Å
α = 90.00°, β = 90.00°, γ = 90.00°
Space group I-4m2 (No. 119)
Symmetry-distinct sites (fractional):
Zn (0.0000, 0.0000, 0.0000)
Re (0.0000, 0.5000, 0.2500)
Pb (0.0000, 0.0000, 0.5000)
Pb (0.0000, 0.5000, 0.7500)

Formation energy = 0.940 eV/atom
Total energy = -4.34 eV per atom
D(E_F) = 3.5 states/eV/f.u.

***

Entry 3:
The following is a DFT calculation (PBE-GGA) of a relaxed structure of ZnRe2Pb.

a = 8.1427 Å, b = 3.1272 Å, c = 6.4411 Å
α = 90.00°, β = 101.95°, γ = 90.00°
Space group Cm (No. 8)
Symmetry-distinct sites (fractional):
Zn (0.0000, 0.0000, 0.0000)
Re (0.2475, 0.5000, 0.2201)
Re (0.4824, 0.0000, 0.3586)
Pb (0.2403, 0.0000, 0.6831)

Formation energy = 0.680 eV/atom
Total energy = -6.79 eV per atom
D(E_F) = 2.4 states/eV/f.u.
Excess energy over the best structure of this formula in the dataset = 364 meV per atom

***

Entry 4:
The following is a DFT calculation (PBE-GGA) of a relaxed structure of ZnRePb2.

a = 4.9885 Å, b = 4.9885 Å, c = 3.3567 Å
α = 90.00°, β = 90.00°, γ = 90.00°
Space group P4/mmm (No. 123)
Symmetry-distinct sites (fractional):
Zn (0.0000, 0.0000, 0.0000)
Re (0.5000, 0.5000, 0.0000)
Pb (0.0000, 0.5000, 0.5000)

Formation energy = 0.888 eV/atom
Total energy = -4.40 eV per atom
D(E_F) = 4.3 states/eV/f.u.

***

Entry 5:
The following is a DFT calculation (PBE-GGA) of a relaxed structure of ZnRePb2.

a = 3.4649 Å, b = 4.5897 Å, c = 5.3902 Å
α = 90.00°, β = 90.00°, γ = 90.00°
Space group Pmmm (No. 47)
Symmetry-distinct sites (fractional):
Zn (0.0000, 0.0000, 0.0000)
Re (0.5000, 0.0000, 0.5000)
Pb (0.0000, 0.5000, 0.5000)
Pb (0.5000, 0.5000, 0.0000)

Formation energy = 0.967 eV/atom
Total energy = -4.32 eV per atom
D(E_F) = 2.9 states/eV/f.u.

***

Entry 6:
The following is a DFT calculation (PBE-GGA) of a relaxed structure of ZnRePb2.

a = 3.0182 Å, b = 4.7568 Å, c = 13.0907 Å
α = 90.00°, β = 90.00°, γ = 90.00°
Space group Imm2 (No. 44)
Symmetry-distinct sites (fractional):
Zn (0.0000, 0.0000, 0.0000)
Re (0.0000, 0.5000, 0.6708)
Pb (0.0000, 0.0000, 0.3778)
Pb (0.0000, 0.5000, 0.1749)

Formation energy = 0.661 eV/atom
Total energy = -4.62 eV per atom
D(E_F) = 1.6 states/eV/f.u.

***

Entry 7:
The following is a DFT calculation (PBE-GGA) of a relaxed structure of ZnRePb2.

a = 3.5425 Å, b = 5.1376 Å, c = 10.3796 Å
α = 90.00°, β = 90.00°, γ = 90.00°
Space group Cmmm (No. 65)
Symmetry-distinct sites (fractional):
Zn (0.0000, 0.0000, 0.0000)
Re (0.0000, 0.0000, 0.5000)
Pb (0.0000, 0.5000, 0.2824)

Formation energy = 0.797 eV/atom
Total energy = -4.49 eV per atom
D(E_F) = 2.8 states/eV/f.u.

***

Entry 8:
The following is a DFT calculation (PBE-GGA) of a relaxed structure of ZrRePb2.

a = 3.3987 Å, b = 4.6782 Å, c = 5.6388 Å
α = 90.00°, β = 98.53°, γ = 90.00°
Space group P2/m (No. 10)
Symmetry-distinct sites (fractional):
Zr (0.0000, 0.0000, 0.0000)
Re (0.5000, 0.0000, 0.5000)
Pb (0.3095, 0.5000, 0.7387)

Formation energy = 0.546 eV/atom
Total energy = -6.56 eV per atom
D(E_F) = 3.3 states/eV/f.u.
Excess energy over the best structure of this formula in the dataset = 345 meV per atom

***

Entry 9:
The following is a DFT calculation (PBE-GGA) of a relaxed structure of Zr2RePb.

a = 6.8591 Å, b = 6.8591 Å, c = 6.8591 Å
α = 90.00°, β = 90.00°, γ = 90.00°
Space group F-43m (No. 216)
Symmetry-distinct sites (fractional):
Zr (0.0000, 0.0000, 0.0000)
Zr (0.2500, 0.2500, 0.2500)
Re (0.2500, 0.2500, 0.7500)
Pb (0.0000, 0.0000, 0.5000)

Formation energy = 0.231 eV/atom
Total energy = -8.08 eV per atom
D(E_F) = 4.0 states/eV/f.u.

***

Entry 10:
The following is a DFT calculation (PBE-GGA) of a relaxed structure of ZrRePb2.

a = 3.4184 Å, b = 5.2819 Å, c = 9.8406 Å
α = 90.00°, β = 90.00°, γ = 90.00°
Space group Immm (No. 71)
Symmetry-distinct sites (fractional):
Zr (0.0000, 0.0000, 0.0000)
Re (0.0000, 0.0000, 0.5000)
Pb (0.0000, 0.5000, 0.2296)

Formation energy = 0.517 eV/atom
Total energy = -6.59 eV per atom
D(E_F) = 3.5 states/eV/f.u.
Excess energy over the best structure of this formula in the dataset = 315 meV per atom

***

Entry 11:
The following is a DFT calculation (PBE-GGA) of a relaxed structure of Zr3RePb.

a = 5.2259 Å, b = 5.2259 Å, c = 5.2259 Å
α = 90.00°, β = 90.00°, γ = 90.00°
Space group Pm-3m (No. 221)
Symmetry-distinct sites (fractional):
Zr (0.0000, 0.0000, 0.5000)
Re (0.5000, 0.5000, 0.5000)
Pb (0.0000, 0.0000, 0.0000)

Formation energy = 1.908 eV/atom
Total energy = -6.45 eV per atom
D(E_F) = 6.7 states/eV/f.u.
Excess energy over the best structure of this formula in the dataset = 1498 meV per atom

***

Entry 12:
The following is a DFT calculation (PBE-GGA) of a relaxed structure of ZrRe2Pb.

a = 4.1618 Å, b = 4.1618 Å, c = 8.5307 Å
α = 90.00°, β = 90.00°, γ = 90.00°
Space group I4/mmm (No. 139)
Symmetry-distinct sites (fractional):
Zr (0.0000, 0.0000, 0.0000)
Re (0.0000, 0.5000, 0.2500)
Pb (0.0000, 0.0000, 0.5000)

Formation energy = 0.562 eV/atom
Total energy = -8.73 eV per atom
D(E_F) = 5.4 states/eV/f.u.

***

What is the formula in the eleventh record?
Zr3RePb

***

Number 3 is which compound?
ZnRe2Pb